BaTlIn2Hg4 | GGA-PBE | relaxed

Cell lengths 5.4251, 5.4251, 9.6672 Å; angles 73.70, 73.70, 60.00 degrees
Atoms (fractional coordinates):
Hg 0.1296 0.1296 0.6111
Ba 0.0000 0.0000 0.0000
In 0.7492 0.7492 0.7525
In 0.2508 0.2508 0.2475
Hg 0.3858 0.3858 0.8425
Hg 0.8704 0.8704 0.3889
Hg 0.6142 0.6142 0.1575
Tl 0.5000 0.5000 0.5000

Ba2TlIn6Hg | GGA-PBE | relaxed

Cell lengths 7.5302, 7.5302, 14.8598 Å; angles 75.32, 75.32, 60.00 degrees
Atoms (fractional coordinates):
Ba 0.3030 0.3030 0.0911
In 0.2127 0.8093 0.1688
In 0.1907 0.1907 0.8312
In 0.8093 0.2127 0.1688
In 0.8093 0.8093 0.1688
In 0.1907 0.7873 0.8312
Hg 0.0000 0.0000 0.0000
In 0.7873 0.1907 0.8312
Tl 0.5823 0.5823 0.2530
In 0.6512 0.0628 0.6348
In 0.9372 0.3488 0.3652
In 0.3488 0.9372 0.3652
In 0.3488 0.3488 0.3652
Tl 0.4177 0.4177 0.7470
Hg 0.5000 0.5000 0.5000
In 0.0628 0.6512 0.6348
Ba 0.6970 0.6970 0.9089
In 0.6512 0.6512 0.6348
Ba 0.1357 0.1357 0.5928
Ba 0.8643 0.8643 0.4072

BaTlInHg2 | GGA-PBE | relaxed

Cell lengths 7.5339, 8.1098, 7.5339 Å; angles 90.00, 90.00, 90.00 degrees
Last column: magnetic moment on the atom in μB.
Atoms (fractional coordinates):
In 0.0000 0.5000 0.0000  -0.09
Hg 0.0000 0.0000 0.5000  -0.01
Hg 0.5000 0.0000 0.0000  -0.01
Ba 0.0000 0.0000 0.0000  -0.03
Tl 0.5000 0.5000 0.5000  -0.09

Ba2TlInHg6 | GGA-PBE | relaxed

Cell lengths 8.0213, 8.0213, 8.0213 Å; angles 60.00, 60.00, 90.00 degrees
Atoms (fractional coordinates):
Ba 0.2500 0.7500 0.5000
Hg 0.2473 0.2473 0.5055
Tl 0.5000 0.5000 0.0000
Hg 0.7527 0.7527 0.4945
Hg 0.2473 0.2473 0.0000
In 0.0000 0.0000 0.0000
Hg 0.2473 0.7527 0.0000
Hg 0.7527 0.7527 0.0000
Ba 0.7500 0.2500 0.5000
Hg 0.7527 0.2473 0.0000

Ba2TmIn3Hg12 | GGA-PBE | relaxed

Cell lengths 13.6756, 13.6756, 13.6756 Å; angles 29.47, 29.47, 29.47 degrees
Atoms (fractional coordinates):
Tm 0.0000 0.0000 0.0000
Hg 0.5943 0.5943 0.1454
Ba 0.6390 0.6390 0.6390
Hg 0.8815 0.3999 0.8815
In 0.0000 0.5000 0.0000
Hg 0.8815 0.8815 0.3999
In 0.0000 0.0000 0.5000
In 0.5000 0.0000 0.0000
Hg 0.4057 0.8546 0.4057
Hg 0.1454 0.5943 0.5943
Hg 0.8546 0.4057 0.4057
Hg 0.5943 0.1454 0.5943
Ba 0.3610 0.3610 0.3610
Hg 0.6001 0.1185 0.1185
Hg 0.3999 0.8815 0.8815
Hg 0.1185 0.6001 0.1185
Hg 0.4057 0.4057 0.8546
Hg 0.1185 0.1185 0.6001

BaTmInHg | GGA-PBE | relaxed

Cell lengths 5.6396, 5.6396, 5.6396 Å; angles 60.00, 60.00, 60.00 degrees
Atoms (fractional coordinates):
In 0.2500 0.2500 0.2500
Hg 0.7500 0.7500 0.7500
Tm 0.0000 0.0000 0.0000
Ba 0.5000 0.5000 0.5000

no.,energy of formation from the pure elements (eV per atom),total magnetization (μB/cell),calculated density (g/cm3)
1,-0.20,0.00,9.8
2,-0.09,0.00,6.5
3,0.63,1.15,3.1
4,-0.11,0.00,8.2
5,-0.17,0.00,9.7
6,-0.31,0.00,8.1